[1]
VPSeBr2 (PBE, optimized geometry); M_tot = 0.46 μB per atom; offset from the most stable computed form = 0.00 eV per formula unit; ΔE_f (raw) = 379 meV per atom; SG = P4/mmm (123)
1.0
5.0732 0.0000 0.0000
0.0000 5.0732 0.0000
0.0000 0.0000 4.8633
V P Se Br
1 1 1 2
Cartesian
0.0000 0.0000 0.0000
2.5366 2.5366 2.4316
0.0000 0.0000 2.4316
0.0000 2.5366 0.0000
2.5366 0.0000 0.0000


[2]
ZrBeCuHg (PBE, optimized geometry); formation energy from the elements = 9 meV per atom; M_tot = 0.00 μB per atom; SG = F-43m (216)
1.0
0.0000 3.1620 3.1620
3.1620 0.0000 3.1620
3.1620 3.1620 0.0000
Zr Be Cu Hg
1 1 1 1
Cartesian
0.0000 0.0000 0.0000
4.7430 4.7430 4.7430
1.5810 1.5810 1.5810
3.1620 3.1620 3.1620


[3]
TbPrY3Er (PBE, optimized geometry); formation energy from the elements = 23 meV per atom; M_tot = 0.00 μB per atom; SG = Cmcm (63)
1.0
2.5322 -7.6077 0.0000
2.5322 7.6077 0.0000
0.0000 0.0000 10.1386
Tb Pr Y Er
2 2 6 2
Cartesian
2.5322 7.5956 7.6039
2.5322 -7.5956 2.5346
2.5322 0.0000 0.0000
2.5322 0.0000 5.0693
2.5322 5.0591 10.1352
2.5322 5.0591 5.0726
2.5322 2.5463 7.6039
2.5322 -2.5463 2.5346
2.5322 -5.0591 0.0033
2.5322 -5.0591 5.0660
2.5322 2.5366 2.5346
2.5322 -2.5366 7.6039


[4]
RbNaMgSb2 (PBE, optimized geometry); M_tot = 0.00 μB per atom; ΔE_f (raw) = 38 meV per atom; SG = P4/mmm (123)
1.0
5.5483 0.0000 0.0000
0.0000 5.5483 0.0000
0.0000 0.0000 6.0396
Rb Na Mg Sb
1 1 1 2
Cartesian
0.0000 0.0000 0.0000
2.7741 2.7741 0.0000
0.0000 0.0000 3.0198
0.0000 2.7741 3.0198
2.7741 0.0000 3.0198